# PBE-GGA MgMnIn2, optimized geometry
# **E_form**: 141 meV per atom
data_MgMnIn2
_chemical_formula_sum 'Mg1 Mn1 In2'
_cell_length_a 4.978
_cell_length_b 4.978
_cell_length_c 5.773
_cell_angle_alpha 79.54
_cell_angle_beta 79.54
_cell_angle_gamma 37.44
_space_group_name_H-M_alt 'P 1'
_space_group_IT_number 1
_space_group_name_Hall 'P 1'
loop_
_atom_site_label
_atom_site_fract_x
_atom_site_fract_y
_atom_site_fract_z
In1 0.005 0.005 0.985
In2 0.495 0.495 0.515
Mg1 0.250 0.250 0.250
Mn1 0.750 0.750 0.750